A plane-wave DFT calculation with GGA-PBE was carried out for crystalline TbGdMnPd at its relaxed geometry.

a = 7.0933 Å, b = 7.0933 Å, c = 7.0933 Å
α = 90.00°, β = 90.00°, γ = 90.00°
Last column: nearest neighbours and their distance in Å.
Space group F-43m (No. 216)
Asymmetric unit:
Tb  0.0000  0.0000  0.0000 [4 per cell]  4 Mn 3.07, 4 Pd 3.07
Gd  0.0000  0.0000  0.5000 [4 per cell]  4 Pd 3.07, 4 Mn 3.07
Mn  0.2500  0.2500  0.2500 [4 per cell]  4 Gd 3.07, 4 Tb 3.07
Pd  0.2500  0.2500  0.7500 [4 per cell]  4 Gd 3.07, 4 Tb 3.07

Properties
The calculated total energy comes out at -8.52 eV per atom. Its mass density is 8.887 g cm⁻³. The calculation puts the total magnetization at 15.51 μB/cell. The density of states at the Fermi level is 1.44 states/eV/atom.

***

A plane-wave DFT calculation with GGA-PBE was carried out for crystalline GdTmMnPd at its relaxed geometry.

a = 7.0325 Å, b = 7.0325 Å, c = 7.0325 Å
α = 90.00°, β = 90.00°, γ = 90.00°
Last column: nearest neighbours and their distance in Å.
Space group F-43m (No. 216)
Asymmetric unit:
Gd  0.0000  0.0000  0.0000 [4 per cell]  4 Mn 3.05, 4 Pd 3.05
Tm  0.0000  0.0000  0.5000 [4 per cell]  4 Pd 3.05, 4 Mn 3.05
Mn  0.2500  0.2500  0.2500 [4 per cell]  4 Gd 3.05, 4 Tm 3.05
Pd  0.2500  0.2500  0.7500 [4 per cell]  4 Gd 3.05, 4 Tm 3.05

Properties
The calculated total energy comes out at -8.48 eV per atom. Its mass density is 9.311 g cm⁻³. The calculation puts the total magnetization at 41.66 μB/cell. The density of states at the Fermi level is 1.13 states/eV/atom.

***

A plane-wave DFT calculation with GGA-PBE was carried out for crystalline PmGdMn at its relaxed geometry.

a = 3.6353 Å, b = 3.6353 Å, c = 12.3560 Å
α = 90.00°, β = 90.00°, γ = 90.00°
Last column: nearest neighbours and their distance in Å.
Space group I4mm (No. 107)
Asymmetric unit:
Pm  0.0000  0.0000  0.0000 [2 per cell]  4 Mn 3.12
Gd  0.0000  0.0000  0.7123 [2 per cell]  4 Mn 3.13
Mn  0.0000  0.0000  0.3565 [2 per cell]  4 Pm 3.12, 4 Gd 3.13

Properties
The calculated total energy comes out at -9.11 eV per atom. Its mass density is 7.265 g cm⁻³. The calculation puts the total magnetization at 21.95 μB/cell. The density of states at the Fermi level is 1.52 states/eV/atom.

***

A plane-wave DFT calculation with GGA-PBE was carried out for crystalline Pm2GdMn at its relaxed geometry.

a = 3.6595 Å, b = 3.6595 Å, c = 8.6040 Å
α = 90.00°, β = 90.00°, γ = 90.00°
Last column: nearest neighbours and their distance in Å.
Space group P4/mmm (No. 123)
Asymmetric unit:
Pm  0.0000  0.0000  0.2056 [2 per cell]  4 Mn 3.13
Gd  0.5000  0.5000  0.5000 [1 per cell]  8 Pm 3.62, 4 Gd 3.66
Mn  0.5000  0.5000  0.0000 [1 per cell]  8 Pm 3.13

Properties
The calculated total energy comes out at -8.00 eV per atom. Its mass density is 7.237 g cm⁻³. The calculation puts the total magnetization at 4.40 μB/cell. The density of states at the Fermi level is 2.03 states/eV/atom.

***

A plane-wave DFT calculation with GGA-PBE was carried out for crystalline PrGdMn at its relaxed geometry.

a = 3.6681 Å, b = 3.6681 Å, c = 12.4518 Å
α = 90.00°, β = 90.00°, γ = 90.00°
Last column: nearest neighbours and their distance in Å.
Space group I4mm (No. 107)
Asymmetric unit:
Pr  0.0000  0.0000  0.0000 [2 per cell]  4 Mn 3.17
Gd  0.0000  0.0000  0.7123 [2 per cell]  4 Mn 3.13
Mn  0.0000  0.0000  0.3531 [2 per cell]  4 Gd 3.13, 4 Pr 3.17

Properties
The calculated total energy comes out at -9.11 eV per atom. Its mass density is 6.999 g cm⁻³. The calculation puts the total magnetization at 22.03 μB/cell. The density of states at the Fermi level is 1.50 states/eV/atom.

***

A plane-wave DFT calculation with GGA-PBE was carried out for crystalline Pr2GdMn at its relaxed geometry.

a = 3.7630 Å, b = 3.7630 Å, c = 8.3983 Å
α = 90.00°, β = 90.00°, γ = 90.00°
Last column: nearest neighbours and their distance in Å.
Space group P4/mmm (No. 123)
Asymmetric unit:
Pr  0.0000  0.0000  0.2092 [2 per cell]  4 Mn 3.19, 1 Pr 3.51
Gd  0.5000  0.5000  0.5000 [1 per cell]  8 Pr 3.61, 4 Gd 3.76
Mn  0.5000  0.5000  0.0000 [1 per cell]  8 Pr 3.19

Properties
The calculated total energy comes out at -8.00 eV per atom. Its mass density is 6.898 g cm⁻³. The calculation puts the total magnetization at 4.46 μB/cell. The density of states at the Fermi level is 1.81 states/eV/atom.

***

A plane-wave DFT calculation with GGA-PBE was carried out for crystalline PrGdMnZn at its relaxed geometry.

a = 7.3090 Å, b = 7.3090 Å, c = 7.3090 Å
α = 90.00°, β = 90.00°, γ = 90.00°
Last column: nearest neighbours and their distance in Å.
Space group F-43m (No. 216)
Asymmetric unit:
Pr  0.0000  0.0000  0.0000 [4 per cell]  4 Zn 3.16, 4 Mn 3.16
Gd  0.0000  0.0000  0.5000 [4 per cell]  4 Mn 3.16, 4 Zn 3.16
Mn  0.2500  0.2500  0.7500 [4 per cell]  4 Pr 3.16, 4 Gd 3.16
Zn  0.2500  0.2500  0.2500 [4 per cell]  4 Gd 3.16, 4 Pr 3.16

Properties
The calculated total energy comes out at -7.30 eV per atom. Its mass density is 7.119 g cm⁻³. The calculation puts the total magnetization at 42.07 μB/cell. The density of states at the Fermi level is 1.22 states/eV/atom.

***

A plane-wave DFT calculation with GGA-PBE was carried out for crystalline Gd2MnPt at its relaxed geometry.

a = 3.6045 Å, b = 3.6045 Å, c = 6.9612 Å
α = 90.00°, β = 90.00°, γ = 90.00°
Last column: nearest neighbours and their distance in Å.
Space group P4/mmm (No. 123)
Asymmetric unit:
Gd  0.0000  0.0000  0.2407 [2 per cell]  4 Pt 3.05, 4 Mn 3.12, 1 Gd 3.35
Mn  0.5000  0.5000  0.5000 [1 per cell]  8 Gd 3.12, 2 Pt 3.48
Pt  0.5000  0.5000  0.0000 [1 per cell]  8 Gd 3.05

Properties
Its mass density is 10.365 g cm⁻³. The calculation puts the total magnetization at 17.64 μB/cell. The density of states at the Fermi level is 1.04 states/eV/atom. For the energy above the most stable polymorph in this dataset, the calculation gives 0.0000 eV per atom.

***

A plane-wave DFT calculation with GGA-PBE was carried out for crystalline GdMnPt4 at its relaxed geometry.

a = 7.5841 Å, b = 7.5841 Å, c = 7.5841 Å
α = 90.00°, β = 90.00°, γ = 90.00°
Last column: nearest neighbours and their distance in Å.
Space group F-43m (No. 216)
Asymmetric unit:
Gd  0.0000  0.0000  0.0000 [4 per cell]  12 Pt 3.15, 4 Mn 3.28
Mn  0.2500  0.2500  0.2500 [4 per cell]  12 Pt 3.14, 4 Gd 3.28
Pt  0.1244  0.1244  0.6244 [16 per cell]  6 Pt 2.67-2.69

Properties
The calculated total energy comes out at -8.58 eV per atom. Its mass density is 15.113 g cm⁻³. The calculation puts the total magnetization at 48.16 μB/cell. The density of states at the Fermi level is 1.18 states/eV/atom.

***

A plane-wave DFT calculation with GGA-PBE was carried out for crystalline GdMnPtRh at its relaxed geometry.

a = 6.6185 Å, b = 6.6185 Å, c = 6.6185 Å
α = 90.00°, β = 90.00°, γ = 90.00°
Last column: nearest neighbours and their distance in Å.
Space group F-43m (No. 216)
Asymmetric unit:
Gd  0.0000  0.0000  0.0000 [4 per cell]  4 Pt 2.87, 4 Rh 2.87
Mn  0.0000  0.0000  0.5000 [4 per cell]  4 Rh 2.87, 4 Pt 2.87
Pt  0.2500  0.2500  0.2500 [4 per cell]  4 Gd 2.87, 4 Mn 2.87
Rh  0.2500  0.2500  0.7500 [4 per cell]  4 Gd 2.87, 4 Mn 2.87

Properties
The calculated total energy comes out at -9.70 eV per atom. Its mass density is 11.688 g cm⁻³. The calculation puts the total magnetization at 46.53 μB/cell. The density of states at the Fermi level is 0.64 states/eV/atom.

***

A plane-wave DFT calculation with GGA-PBE was carried out for crystalline GdPu2Mn at its relaxed geometry.

a = 5.0477 Å, b = 5.0477 Å, c = 12.3927 Å
α = 90.00°, β = 90.00°, γ = 120.00°
Last column: nearest neighbours and their distance in Å.
Space group R-3m (No. 166, hexagonal axes)
Asymmetric unit:
Gd  0.0000  0.0000  0.0000 [3 per cell]  8 Pu 3.09
Pu  0.0000  0.0000  0.2497 [6 per cell]  4 Mn 3.09-3.10, 4 Gd 3.09
Mn  0.0000  0.0000  0.5000 [3 per cell]  8 Pu 3.09-3.10

Properties
The calculated total energy comes out at -12.68 eV per atom. Its mass density is 12.756 g cm⁻³. The calculation puts the total magnetization at 5.46 μB/cell. The density of states at the Fermi level is 2.33 states/eV/atom.

***

A plane-wave DFT calculation with GGA-PBE was carried out for crystalline GdPuMnRh at its relaxed geometry.

a = 6.8739 Å, b = 6.8739 Å, c = 6.8739 Å
α = 90.00°, β = 90.00°, γ = 90.00°
Last column: nearest neighbours and their distance in Å.
Space group F-43m (No. 216)
Asymmetric unit:
Gd  0.0000  0.0000  0.0000 [4 per cell]  4 Mn 2.98, 4 Rh 2.98
Pu  0.0000  0.0000  0.5000 [4 per cell]  4 Mn 2.98, 4 Rh 2.98
Mn  0.2500  0.2500  0.7500 [4 per cell]  4 Gd 2.98, 4 Pu 2.98
Rh  0.2500  0.2500  0.2500 [4 per cell]  4 Gd 2.98, 4 Pu 2.98

Properties
The calculated total energy comes out at -11.43 eV per atom. Its mass density is 11.434 g cm⁻³. The calculation puts the total magnetization at 18.64 μB/cell. The density of states at the Fermi level is 1.11 states/eV/atom.

***

A plane-wave DFT calculation with GGA-PBE was carried out for crystalline GdPuMnRu at its relaxed geometry.

a = 6.8522 Å, b = 6.8522 Å, c = 6.8522 Å
α = 90.00°, β = 90.00°, γ = 90.00°
Last column: nearest neighbours and their distance in Å.
Space group F-43m (No. 216)
Asymmetric unit:
Gd  0.0000  0.0000  0.0000 [4 per cell]  4 Mn 2.97, 4 Ru 2.97
Pu  0.0000  0.0000  0.5000 [4 per cell]  4 Mn 2.97, 4 Ru 2.97
Mn  0.2500  0.2500  0.7500 [4 per cell]  4 Gd 2.97, 4 Pu 2.97
Ru  0.2500  0.2500  0.2500 [4 per cell]  4 Gd 2.97, 4 Pu 2.97

Properties
The calculated total energy comes out at -11.76 eV per atom. Its mass density is 11.505 g cm⁻³. The calculation puts the total magnetization at 21.74 μB/cell. The density of states at the Fermi level is 1.26 states/eV/atom.

***

A plane-wave DFT calculation with GGA-PBE was carried out for crystalline GdPuMnTc at its relaxed geometry.

a = 6.8260 Å, b = 6.8260 Å, c = 6.8260 Å
α = 90.00°, β = 90.00°, γ = 90.00°
Last column: nearest neighbours and their distance in Å.
Space group F-43m (No. 216)
Asymmetric unit:
Gd  0.0000  0.0000  0.0000 [4 per cell]  4 Mn 2.96, 4 Tc 2.96
Pu  0.0000  0.0000  0.5000 [4 per cell]  4 Tc 2.96, 4 Mn 2.96
Mn  0.2500  0.2500  0.7500 [4 per cell]  4 Gd 2.96, 4 Pu 2.96
Tc  0.2500  0.2500  0.2500 [4 per cell]  4 Gd 2.96, 4 Pu 2.96

Properties
The calculated total energy comes out at -11.87 eV per atom. Its mass density is 11.574 g cm⁻³. The calculation puts the total magnetization at 34.71 μB/cell. The density of states at the Fermi level is 1.78 states/eV/atom.

***

A plane-wave DFT calculation with GGA-PBE was carried out for crystalline GdPuMnZn at its relaxed geometry.

a = 7.1099 Å, b = 7.1099 Å, c = 7.1099 Å
α = 90.00°, β = 90.00°, γ = 90.00°
Last column: nearest neighbours and their distance in Å.
Space group F-43m (No. 216)
Asymmetric unit:
Gd  0.0000  0.0000  0.0000 [4 per cell]  4 Mn 3.08, 4 Zn 3.08
Pu  0.0000  0.0000  0.5000 [4 per cell]  4 Zn 3.08, 4 Mn 3.08
Mn  0.2500  0.2500  0.2500 [4 per cell]  4 Gd 3.08, 4 Pu 3.08
Zn  0.2500  0.2500  0.7500 [4 per cell]  4 Gd 3.08, 4 Pu 3.08

Properties
The calculated total energy comes out at -9.52 eV per atom. Its mass density is 9.640 g cm⁻³. The calculation puts the total magnetization at 5.55 μB/cell. The density of states at the Fermi level is 3.32 states/eV/atom.

***

A plane-wave DFT calculation with GGA-PBE was carried out for crystalline GdMnRh2 at its relaxed geometry.

a = 4.5122 Å, b = 4.5122 Å, c = 3.4196 Å
α = 90.00°, β = 90.00°, γ = 90.00°
Last column: nearest neighbours and their distance in Å.
Space group P4/mmm (No. 123)
Asymmetric unit:
Gd  0.0000  0.0000  0.0000 [1 per cell]  8 Rh 2.83
Mn  0.5000  0.5000  0.0000 [1 per cell]  8 Rh 2.83
Rh  0.0000  0.5000  0.5000 [2 per cell]  4 Mn 2.83, 4 Gd 2.83

Properties
Its mass density is 9.970 g cm⁻³. The calculation puts the total magnetization at 11.85 μB/cell. The density of states at the Fermi level is 0.53 states/eV/atom. For the energy above the most stable polymorph in this dataset, the calculation gives 0.0019 eV per atom.